{"formula": "Dy2SiPt", "functional": "PBE-GGA", "state": "relaxed", "dft_energy_ev_per_atom": -6.198, "cell": [[4.161, 0.000, 0.000], [0.000, 5.707, 0.000], [0.000, 0.000, 7.473]], "species": ["Dy", "Dy", "Dy", "Dy", "Si", "Si", "Pt", "Pt"], "frac_coords": [[0.000, 0.112, 0.000], [0.000, 0.888, 0.500], [0.500, 0.377, 0.356], [0.500, 0.623, 0.856], [0.000, 0.383, 0.638], [0.000, 0.617, 0.138], [0.500, 0.116, 0.719], [0.500, 0.884, 0.219]]}

=====

{"formula": "LaPrO2", "functional": "PBE-GGA", "state": "relaxed", "dft_energy_ev_per_atom": -7.683, "cell": [[3.605, 0.000, 0.000], [0.000, 3.605, 0.000], [0.000, 0.000, 5.094]], "species": ["La", "Pr", "O", "O"], "frac_coords": [[0.000, 0.000, 0.000], [0.500, 0.500, 0.500], [0.000, 0.000, 0.500], [0.500, 0.500, 0.000]]}

=====

{"formula": "PuGeAs", "functional": "PBE-GGA", "state": "relaxed", "dft_energy_ev_per_atom": -8.043, "cell": [[0.000, 3.341, 3.341], [3.341, 0.000, 3.341], [3.341, 3.341, 0.000]], "species": ["Pu", "Ge", "As"], "frac_coords": [[0.000, 0.000, 0.000], [0.250, 0.250, 0.250], [0.750, 0.750, 0.750]]}

=====

{"formula": "YInCu", "functional": "PBE-GGA", "state": "relaxed", "dft_energy_ev_per_atom": -4.737, "cell": [[7.460, 0.000, 0.000], [-3.730, 6.460, 0.000], [0.000, 0.000, 3.951]], "species": ["Y", "Y", "Y", "In", "In", "In", "Cu", "Cu", "Cu"], "frac_coords": [[0.000, 0.587, 0.000], [0.413, 0.413, 0.000], [0.587, 0.000, 0.000], [0.000, 0.254, 0.500], [0.254, 0.000, 0.500], [0.746, 0.746, 0.500], [0.000, 0.000, 0.000], [0.333, 0.667, 0.500], [0.667, 0.333, 0.500]]}

=====

{"formula": "Hf2In2Tc3", "functional": "PBE-GGA", "state": "relaxed", "dft_energy_ev_per_atom": -7.909, "cell": [[1.710, -11.747, 0.000], [1.710, 11.747, 0.000], [0.000, 0.000, 3.249]], "species": ["Hf", "Hf", "In", "In", "Tc", "Tc", "Tc"], "frac_coords": [[0.195, 0.805, 0.000], [0.805, 0.195, 0.000], [0.066, 0.934, 0.000], [0.934, 0.066, 0.000], [0.360, 0.640, 0.500], [0.500, 0.500, 0.500], [0.640, 0.360, 0.500]]}

=====

{"formula": "KCuSnSe3", "functional": "PBE-GGA", "state": "relaxed", "dft_energy_ev_per_atom": -3.686, "cell": [[8.226, -2.207, 0.000], [8.226, 2.207, 0.000], [-0.578, 0.000, 8.578]], "species": ["K", "K", "Cu", "Cu", "Sn", "Sn", "Se", "Se", "Se", "Se", "Se", "Se"], "frac_coords": [[0.144, 0.144, 0.089], [0.856, 0.856, 0.911], [0.489, 0.489, 0.677], [0.511, 0.511, 0.323], [0.164, 0.164, 0.593], [0.836, 0.836, 0.407], [0.000, 0.000, 0.500], [0.336, 0.336, 0.637], [0.373, 0.373, 0.195], [0.500, 0.500, 0.000], [0.627, 0.627, 0.805], [0.664, 0.664, 0.363]]}

=====

{"formula": "ZnP2H14C2N6O6", "functional": "PBE-GGA", "state": "relaxed", "dft_energy_ev_per_atom": -5.880, "cell": [[0.000, 7.520, 7.046], [5.705, 0.000, 7.046], [5.705, 7.520, 0.000]], "species": ["Zn", "Zn", "P", "P", "P", "P", "H", "H", "H", "H", "H", "H", "H", "H", "H", "H", "H", "H", "H", "H", "H", "H", "H", "H", "H", "H", "H", "H", "H", "H", "H", "H", "H", "H", "C", "C", "C", "C", "N", "N", "N", "N", "N", "N", "N", "N", "N", "N", "N", "N", "O", "O", "O", "O", "O", "O", "O", "O", "O", "O", "O", "O"], "frac_coords": [[0.000, 0.000, 0.000], [0.250, 0.250, 0.250], [0.027, 0.125, 0.632], [0.034, 0.618, 0.125], [0.125, 0.027, 0.216], [0.618, 0.034, 0.223], [0.014, 0.457, 0.935], [0.024, 0.821, 0.615], [0.026, 0.732, 0.815], [0.045, 0.459, 0.538], [0.045, 0.671, 0.459], [0.049, 0.328, 0.804], [0.172, 0.973, 0.551], [0.291, 0.712, 0.791], [0.315, 0.656, 0.236], [0.328, 0.049, 0.819], [0.426, 0.791, 0.579], [0.431, 0.446, 0.922], [0.435, 0.823, 0.224], [0.446, 0.431, 0.201], [0.457, 0.014, 0.594], [0.459, 0.045, 0.959], [0.635, 0.710, 0.226], [0.656, 0.315, 0.793], [0.671, 0.045, 0.824], [0.699, 0.945, 0.078], [0.710, 0.635, 0.429], [0.712, 0.291, 0.205], [0.732, 0.026, 0.427], [0.791, 0.426, 0.205], [0.821, 0.024, 0.540], [0.823, 0.435, 0.518], [0.945, 0.699, 0.277], [0.973, 0.172, 0.305], [0.035, 0.575, 0.696], [0.554, 0.556, 0.215], [0.556, 0.554, 0.675], [0.575, 0.035, 0.694], [0.019, 0.723, 0.715], [0.042, 0.567, 0.553], [0.044, 0.438, 0.817], [0.412, 0.697, 0.683], [0.433, 0.549, 0.206], [0.438, 0.044, 0.701], [0.535, 0.707, 0.231], [0.549, 0.433, 0.812], [0.567, 0.042, 0.838], [0.697, 0.412, 0.208], [0.707, 0.535, 0.527], [0.723, 0.019, 0.543], [0.048, 0.140, 0.775], [0.052, 0.281, 0.488], [0.071, 0.762, 0.969], [0.112, 0.860, 0.330], [0.140, 0.048, 0.038], [0.212, 0.475, 0.110], [0.281, 0.052, 0.179], [0.475, 0.212, 0.202], [0.553, 0.920, 0.390], [0.762, 0.071, 0.198], [0.860, 0.112, 0.697], [0.920, 0.553, 0.138]]}

=====

{"formula": "Al2Cd2Si3", "functional": "PBE-GGA", "state": "relaxed", "dft_energy_ev_per_atom": -3.243, "cell": [[2.301, 1.328, 7.313], [-2.301, 1.328, 7.313], [0.000, -2.656, 7.313]], "species": ["Al", "Al", "Cd", "Cd", "Si", "Si", "Si"], "frac_coords": [[0.000, 0.000, 0.000], [0.498, 0.498, 0.498], [0.233, 0.233, 0.233], [0.758, 0.758, 0.758], [0.371, 0.371, 0.371], [0.632, 0.632, 0.632], [0.878, 0.878, 0.878]]}

=====

{"formula": "Nd2SnH2", "functional": "PBE-GGA", "state": "relaxed", "dft_energy_ev_per_atom": -4.757, "cell": [[-2.071, 2.071, 5.548], [2.071, -2.071, 5.548], [2.071, 2.071, -5.548]], "species": ["Nd", "Nd", "Sn", "H", "H"], "frac_coords": [[0.152, 0.152, 0.000], [0.848, 0.848, 0.000], [0.500, 0.500, 0.000], [0.250, 0.750, 0.500], [0.750, 0.250, 0.500]]}

=====

{"formula": "ZrMoP", "functional": "PBE-GGA", "state": "relaxed", "dft_energy_ev_per_atom": -8.650, "cell": [[7.098, 0.000, 0.000], [-3.549, 6.147, 0.000], [0.000, 0.000, 3.478]], "species": ["Zr", "Zr", "Zr", "Mo", "Mo", "Mo", "P", "P", "P"], "frac_coords": [[0.000, 0.594, 0.000], [0.406, 0.406, 0.000], [0.594, 0.000, 0.000], [0.000, 0.000, 0.000], [0.333, 0.667, 0.500], [0.667, 0.333, 0.500], [0.000, 0.271, 0.500], [0.271, 0.000, 0.500], [0.729, 0.729, 0.500]]}

=====

{"formula": "LuScTl", "functional": "PBE-GGA", "state": "relaxed", "dft_energy_ev_per_atom": -4.402, "cell": [[0.000, 3.501, 3.501], [3.501, 0.000, 3.501], [3.501, 3.501, 0.000]], "species": ["Lu", "Sc", "Tl"], "frac_coords": [[0.000, 0.000, 0.000], [0.500, 0.500, 0.500], [0.250, 0.250, 0.250]]}

=====

{"formula": "RbGaNi", "functional": "PBE-GGA", "state": "relaxed", "dft_energy_ev_per_atom": -1.958, "cell": [[0.000, 3.697, 3.697], [3.697, 0.000, 3.697], [3.697, 3.697, 0.000]], "species": ["Rb", "Ga", "Ni"], "frac_coords": [[0.000, 0.000, 0.000], [0.750, 0.750, 0.750], [0.250, 0.250, 0.250]]}

=====

{"formula": "DyHf2In", "functional": "PBE-GGA", "state": "relaxed", "dft_energy_ev_per_atom": -6.898, "cell": [[4.539, 0.000, 0.000], [0.000, 4.539, 0.000], [0.000, 0.000, 4.544]], "species": ["Dy", "Hf", "Hf", "In"], "frac_coords": [[0.000, 0.000, 0.000], [0.000, 0.500, 0.500], [0.500, 0.000, 0.500], [0.500, 0.500, 0.000]]}

=====

{"formula": "MoPdPb2", "functional": "PBE-GGA", "state": "relaxed", "dft_energy_ev_per_atom": -5.203, "cell": [[0.000, 3.526, 3.526], [3.526, 0.000, 3.526], [3.526, 3.526, 0.000]], "species": ["Mo", "Pd", "Pb", "Pb"], "frac_coords": [[0.000, 0.000, 0.000], [0.750, 0.750, 0.750], [0.250, 0.250, 0.250], [0.500, 0.500, 0.500]]}

=====

{"formula": "LiBeZn2", "functional": "PBE-GGA", "state": "relaxed", "dft_energy_ev_per_atom": -2.039, "cell": [[0.000, 2.895, 2.895], [2.895, 0.000, 2.895], [2.895, 2.895, 0.000]], "species": ["Li", "Be", "Zn", "Zn"], "frac_coords": [[0.000, 0.000, 0.000], [0.250, 0.250, 0.250], [0.500, 0.500, 0.500], [0.750, 0.750, 0.750]]}

=====

{"formula": "AlGaCu2", "functional": "PBE-GGA", "state": "relaxed", "dft_energy_ev_per_atom": -3.606, "cell": [[6.024, 0.000, 0.000], [0.000, 6.024, 0.000], [0.000, 0.000, 6.024]], "species": ["Al", "Al", "Al", "Al", "Ga", "Ga", "Ga", "Ga", "Cu", "Cu", "Cu", "Cu", "Cu", "Cu", "Cu", "Cu"], "frac_coords": [[0.000, 0.000, 0.000], [0.000, 0.000, 0.500], [0.000, 0.500, 0.000], [0.500, 0.000, 0.000], [0.000, 0.500, 0.500], [0.500, 0.000, 0.500], [0.500, 0.500, 0.000], [0.500, 0.500, 0.500], [0.246, 0.246, 0.246], [0.246, 0.246, 0.754], [0.246, 0.754, 0.246], [0.246, 0.754, 0.754], [0.754, 0.246, 0.246], [0.754, 0.246, 0.754], [0.754, 0.754, 0.246], [0.754, 0.754, 0.754]]}

=====

{"formula": "Hf4CdInB2", "functional": "PBE-GGA", "state": "relaxed", "dft_energy_ev_per_atom": -7.463, "cell": [[3.394, 0.000, 0.000], [-1.697, 2.939, 0.000], [0.000, 0.000, 15.320]], "species": ["Hf", "Hf", "Hf", "Hf", "Cd", "In", "B", "B"], "frac_coords": [[0.000, 0.000, 0.165], [0.000, 0.000, 0.835], [0.333, 0.667, 0.333], [0.333, 0.667, 0.667], [0.000, 0.000, 0.500], [0.333, 0.667, 0.000], [0.667, 0.333, 0.249], [0.667, 0.333, 0.751]]}

=====

{"formula": "YFeHgPb", "functional": "PBE-GGA", "state": "relaxed", "dft_energy_ev_per_atom": -4.554, "cell": [[0.000, 3.577, 3.577], [3.577, 0.000, 3.577], [3.577, 3.577, 0.000]], "species": ["Y", "Fe", "Hg", "Pb"], "frac_coords": [[0.000, 0.000, 0.000], [0.750, 0.750, 0.750], [0.250, 0.250, 0.250], [0.500, 0.500, 0.500]]}

=====

{"formula": "RbNiHg", "functional": "PBE-GGA", "state": "relaxed", "dft_energy_ev_per_atom": -1.728, "cell": [[0.000, 3.573, 3.573], [3.573, 0.000, 3.573], [3.573, 3.573, 0.000]], "species": ["Rb", "Ni", "Hg"], "frac_coords": [[0.000, 0.000, 0.000], [0.750, 0.750, 0.750], [0.500, 0.500, 0.500]]}

=====

{"formula": "GdTmFeCo2", "functional": "PBE-GGA", "state": "relaxed", "e_form_ev_per_atom": -0.1797, "cell": [[-1.954, 2.614, 4.232], [1.954, -2.614, 4.232], [1.954, 2.614, -4.232]], "species": ["Gd", "Tm", "Fe", "Co", "Co"], "frac_coords": [[0.000, 0.000, 0.000], [0.600, 0.600, 0.000], [0.300, 0.800, 0.500], [0.038, 0.300, 0.738], [0.561, 0.300, 0.262]]}